An optimized crystal structure of TaIrPt2Pb. Source: Alexandria, functional PBE.

## Properties
- magnetic moment (Bohr magnetons per cell) = 0.56
- final energy (Ry per atom) = -0.42500

Unit cell a=4.8102 b=4.8102 c=5.3553 alpha=90.00 beta=90.00 gamma=90.00
With the nearest neighbours (Å) after each atom.
Fractional positions:
Pb  0.0000  0.0000  0.5000  2 Ta 2.68
Ta  0.0000  0.0000  0.0000  4 Pt 2.41, 2 Pb 2.68
Pt  0.5000  0.0000  0.0000  2 Ta 2.41
Pt  0.0000  0.5000  0.0000  2 Ta 2.41
Ir  0.5000  0.5000  0.5000  4 Pb 3.40, 8 Pt 3.60